Compound: PrH11Rh5
Source: the Alexandria database
Functional: PBE
Structure: optimized geometry

Lattice parameters (Å, degrees): 7.0536 4.9357 4.9357 111.52 99.02 99.02
Closest atoms and distances in Å follow each position.
Fractional positions:
Pr 0.1163 0.1263 0.1263  6 H 2.35-2.59
H 0.2249 0.5726 0.5726  3 Rh 1.76-1.86
H 0.6151 0.2926 0.2926  2 Rh 1.72
H 0.5924 0.9535 0.6450  3 Rh 1.78-1.93
H 0.4074 0.8973 0.2196  3 Rh 1.75-1.85
H 0.4074 0.2196 0.8973  3 Rh 1.75-1.85
H 0.5924 0.6450 0.9535  3 Rh 1.78-1.93
H 0.7717 0.0444 0.0444  2 Rh 1.76
H 0.0788 0.9052 0.5519  2 Rh 1.74-1.79
H 0.8218 0.2844 0.6624  2 Rh 1.75-1.81
H 0.8218 0.6624 0.2844  2 Rh 1.75-1.81
H 0.0788 0.5519 0.9052  2 Rh 1.74-1.79
Rh 0.6799 0.9855 0.3352  5 H 1.72-1.85
Rh 0.3260 0.9110 0.5517  5 H 1.74-1.82
Rh 0.3260 0.5517 0.9110  5 H 1.74-1.82
Rh 0.6799 0.3352 0.9855  5 H 1.72-1.85
Rh 0.9592 0.5614 0.5614  5 H 1.79-1.86

Uncorrected energy ... -4.736 eV per atom
Space-group type ... Cm

=====

Compound: Pr2H7Rh2
Source: the Alexandria database
Functional: PBE
Structure: optimized geometry

Lattice parameters (Å, degrees): 3.3791 6.1274 6.1274 103.37 100.10 100.10
Closest atoms and distances in Å follow each position.
Fractional positions:
Pr 0.5000 0.2969 0.7031  8 H 2.37-2.50
Pr 0.5000 0.7031 0.2969  8 H 2.37-2.50
H 0.1582 0.5638 0.9037  1 Rh 1.69
H 0.8418 0.0963 0.4362  1 Rh 1.69
H 0.8418 0.4362 0.0963  1 Rh 1.69
H 0.1582 0.9037 0.5638  1 Rh 1.69
H 0.3690 0.2851 0.2851  2 Rh 1.77-1.80
H 0.0000 0.0000 0.0000  2 Rh 1.83
H 0.6310 0.7149 0.7149  2 Rh 1.77-1.80
Rh 0.1769 0.7935 0.7935  5 H 1.69-1.83
Rh 0.8231 0.2065 0.2065  5 H 1.69-1.83

Uncorrected energy ... -4.701 eV per atom
Space-group type ... C2/m

=====

Compound: PrH6Rh3
Source: the Alexandria database
Functional: PBE
Structure: optimized geometry

Lattice parameters (Å, degrees): 5.0546 5.0604 5.0605 87.40 121.43 121.43
Closest atoms and distances in Å follow each position.
Fractional positions:
Pr 0.8157 0.9079 0.7079  12 H 2.47-2.68
H 0.2336 0.4119 0.6209  3 Rh 1.87-1.99, 1 H 2.09
H 0.2335 0.8208 0.2118  3 Rh 1.87-1.99, 1 H 2.09
H 0.8015 0.0265 0.1840  3 Rh 1.84-1.90
H 0.1897 0.8077 0.6077  3 Rh 1.83-1.99
H 0.8015 0.3840 0.8264  3 Rh 1.84-1.90
H 0.4675 0.4143 0.2143  3 Rh 1.85-1.89
Rh 0.8386 0.4184 0.2182  6 H 1.85-1.99
Rh 0.3092 0.6528 0.9558  6 H 1.83-1.89
Rh 0.3092 0.1559 0.4528  6 H 1.83-1.89

Uncorrected energy ... -5.002 eV per atom
Space-group type ... Cm

=====

Compound: PrH3Rh
Source: the Alexandria database
Functional: PBE
Structure: optimized geometry

Lattice parameters (Å, degrees): 3.7584 3.7584 3.7584 90.00 90.00 90.00
Closest atoms and distances in Å follow each position.
Fractional positions:
Pr 0.5000 0.5000 0.5000  12 H 2.66
H 0.0000 0.5000 0.0000  2 Rh 1.88
H 0.0000 0.0000 0.5000  2 Rh 1.88
H 0.5000 0.0000 0.0000  2 Rh 1.88
Rh 0.0000 0.0000 0.0000  6 H 1.88

Uncorrected energy ... -5.012 eV per atom
Space-group type ... Pm-3m

=====

Compound: PrH8Rh6
Source: the Alexandria database
Functional: PBE
Structure: optimized geometry

Lattice parameters (Å, degrees): 5.2720 5.2720 5.2720 99.58 99.58 99.58
Closest atoms and distances in Å follow each position.
Fractional positions:
Pr 0.0000 0.0000 0.0000  8 H 2.45-2.54
H 0.6721 0.6721 0.6721  3 Rh 1.82
H 0.3279 0.3279 0.3279  3 Rh 1.82
H 0.6254 0.8028 0.1982  3 Rh 1.79-1.83
H 0.8028 0.1982 0.6254  3 Rh 1.79-1.83
H 0.1982 0.6254 0.8028  3 Rh 1.79-1.83
H 0.3746 0.1972 0.8018  3 Rh 1.79-1.83
H 0.1972 0.8018 0.3746  3 Rh 1.79-1.83
H 0.8018 0.3746 0.1972  3 Rh 1.79-1.83
Rh 0.6944 0.4169 0.8636  4 H 1.79-1.83
Rh 0.4169 0.8636 0.6944  4 H 1.79-1.83
Rh 0.8636 0.6944 0.4169  4 H 1.79-1.83
Rh 0.3056 0.5831 0.1364  4 H 1.79-1.83
Rh 0.5831 0.1364 0.3056  4 H 1.79-1.83
Rh 0.1364 0.3056 0.5831  4 H 1.79-1.83

Uncorrected energy ... -5.188 eV per atom
Space-group type ... R-3

=====

Compound: PrHRh
Source: the Alexandria database
Functional: PBE
Structure: optimized geometry

Lattice parameters (Å, degrees): 3.7393 3.9475 3.9475 120.00 90.00 90.00
Closest atoms and distances in Å follow each position.
Fractional positions:
Pr 0.6670 0.3333 0.6667  6 H 2.95, 6 Rh 2.95
H 0.1662 0.6667 0.3333  3 Rh 2.28
Rh 0.1668 0.0000 0.0000  3 H 2.28

Uncorrected energy ... -5.432 eV per atom
Space-group type ... P-6m2

=====

Compound: PrH4Rh3
Source: the Alexandria database
Functional: PBE
Structure: optimized geometry

Lattice parameters (Å, degrees): 5.5015 5.5015 5.5015 90.00 90.00 90.00
Closest atoms and distances in Å follow each position.
Fractional positions:
Pr 0.0000 0.0000 0.0000  8 H 2.38
Pr 0.5000 0.5000 0.5000  8 H 2.38
H 0.2500 0.2500 0.2500  3 Rh 1.95
H 0.2500 0.7500 0.2500  3 Rh 1.95
H 0.2500 0.2500 0.7500  3 Rh 1.95
H 0.2500 0.7500 0.7500  3 Rh 1.95
H 0.7500 0.2500 0.2500  3 Rh 1.95
H 0.7500 0.2500 0.7500  3 Rh 1.95
H 0.7500 0.7500 0.2500  3 Rh 1.95
H 0.7500 0.7500 0.7500  3 Rh 1.95
Rh 0.0000 0.5000 0.2500  4 H 1.95
Rh 0.0000 0.5000 0.7500  4 H 1.95
Rh 0.2500 0.0000 0.5000  4 H 1.95
Rh 0.5000 0.2500 0.0000  4 H 1.95
Rh 0.5000 0.7500 0.0000  4 H 1.95
Rh 0.7500 0.0000 0.5000  4 H 1.95

Uncorrected energy ... -5.251 eV per atom
Space-group type ... Pm-3n

=====

Compound: Pr2HRh
Source: the Alexandria database
Functional: PBE
Structure: optimized geometry

Lattice parameters (Å, degrees): 4.0751 4.0751 6.6729 72.22 72.22 60.00
Closest atoms and distances in Å follow each position.
Fractional positions:
Pr 0.2461 0.2461 0.2618  3 H 2.78, 3 Rh 2.87
Pr 0.7539 0.7539 0.7382  3 H 2.78, 3 Rh 2.87
H 0.5000 0.5000 0.5000  6 Pr 2.78
Rh 0.0000 0.0000 0.0000  6 Pr 2.87

Uncorrected energy ... -5.535 eV per atom
Space-group type ... R-3m